(1)
YBe2Au | PBE | optimized geometry

a b c (Å): 3.0728 3.0728 6.7164
angles (deg): 90.00 90.00 90.00
Space group P4mm (No. 99)
Unique sites:
Y 0.0000 0.0000 0.0000 [1 per cell]
Be 0.0000 0.0000 0.5485 [1 per cell]
Be 0.5000 0.5000 0.6998 [1 per cell]
Au 0.5000 0.5000 0.3377 [1 per cell]

- Size of the total moment: 0.0 μB/cell
- Total DFT energy (no corrections): -17.3 eV for the cell shown
- Excess energy over the best structure of this formula in the dataset: 304 meV/atom



(2)
YBe2Au | PBE | optimized geometry

a b c (Å): 4.1321 4.1321 4.0465
angles (deg): 90.00 90.00 90.00
Space group P4/mmm (No. 123)
Unique sites:
Y 0.0000 0.0000 0.0000 [1 per cell]
Be 0.0000 0.5000 0.5000 [2 per cell]
Au 0.5000 0.5000 0.0000 [1 per cell]

- Size of the total moment: 0.0 μB/cell
- Total DFT energy (no corrections): -16.7 eV for the cell shown
- Excess energy over the best structure of this formula in the dataset: 475 meV/atom



(3)
YBe6Au12 | PBE | optimized geometry

a b c (Å): 8.5081 8.5081 8.5081
angles (deg): 90.00 90.00 90.00
Space group Im-3 (No. 204)
Unique sites:
Y 0.0000 0.0000 0.0000 [2 per cell]
Be 0.0000 0.1282 0.5000 [12 per cell]
Au 0.0000 0.3095 0.1731 [24 per cell]

- Size of the total moment: 0.0 μB/cell
- Total DFT energy (no corrections): -139.9 eV for the cell shown



(4)
YBe2Au | PBE | optimized geometry

a b c (Å): 6.4526 6.4526 6.4526
angles (deg): 90.00 90.00 90.00
Space group F-43m (No. 216)
Unique sites:
Y 0.0000 0.0000 0.0000 [4 per cell]
Be 0.0000 0.0000 0.5000 [4 per cell]
Be 0.2500 0.2500 0.7500 [4 per cell]
Au 0.2500 0.2500 0.2500 [4 per cell]

- Size of the total moment: 0.0 μB/cell
- Total DFT energy (no corrections): -69.1 eV for the cell shown
- Excess energy over the best structure of this formula in the dataset: 321 meV/atom



(5)
Y2BeAu2 | PBE | optimized geometry

a b c (Å): 7.9952 7.9952 3.7166
angles (deg): 90.00 90.00 90.00
Space group P4/mbm (No. 127)
Unique sites:
Y 0.1663 0.3337 0.0000 [4 per cell]
Be 0.0000 0.0000 0.0000 [2 per cell]
Au 0.1305 0.6305 0.5000 [4 per cell]

- Size of the total moment: 0.0 μB/cell
- Total DFT energy (no corrections): -48.4 eV for the cell shown
- Excess energy over the best structure of this formula in the dataset: 239 meV/atom



(6)
YBe4Au | PBE | optimized geometry

a b c (Å): 6.8457 6.8457 6.8457
angles (deg): 90.00 90.00 90.00
Space group F-43m (No. 216)
Unique sites:
Y 0.0000 0.0000 0.0000 [4 per cell]
Be 0.1288 0.1288 0.3712 [16 per cell]
Au 0.2500 0.2500 0.7500 [4 per cell]

- Size of the total moment: 0.0 μB/cell
- Total DFT energy (no corrections): -97.5 eV for the cell shown



(7)
Y2BeAu2 | PBE | optimized geometry

a b c (Å): 3.7845 3.7845 16.4094
angles (deg): 90.00 90.00 90.00
Space group I4/mmm (No. 139)
Unique sites:
Y 0.0000 0.0000 0.1005 [4 per cell]
Be 0.0000 0.0000 0.5000 [2 per cell]
Au 0.0000 0.5000 0.2500 [4 per cell]

- Size of the total moment: 0.0 μB/cell
- Total DFT energy (no corrections): -47.6 eV for the cell shown
- Excess energy over the best structure of this formula in the dataset: 324 meV/atom



(8)
Y4BeAu | PBE | optimized geometry

a b c (Å): 8.6483 8.6483 8.6483
angles (deg): 90.00 90.00 90.00
Space group F-43m (No. 216)
Unique sites:
Y 0.1252 0.1252 0.1252 [16 per cell]
Be 0.0000 0.0000 0.5000 [4 per cell]
Au 0.2500 0.2500 0.7500 [4 per cell]

- Size of the total moment: 0.0 μB/cell
- Total DFT energy (no corrections): -115.7 eV for the cell shown